The following is a DFT calculation (PBE) of Ba3Re after structural relaxation.

Computed properties:
Relative energy among the computed polymorphs in eV per formula unit: 1.906
Space group: P4/mmm (123)
Spin magnetization in μB per atom: 0.242
Energy relative to the elements in eV per atom: 0.89

Cell: 3.868 3.868 11.053 Å, 90.00 90.00 90.02°
Fractional positions:
Re 0.500 0.500 0.250
Ba 0.000 0.000 0.079
Ba 0.500 0.500 0.750
Ba 0.000 0.000 0.421